## Sr2DyS3 (PBE-GGA)

Data for crystalline Sr2DyS3 at its relaxed geometry.

a = 8.293 Å, b = 11.699 Å, c = 24.728 Å
α = 90.00°, β = 90.00°, γ = 90.00°
Space group Fddd (No. 70, origin choice 2)
One atom of each set of equivalent atoms:
Sr 0.125 0.125 0.043
Sr 0.125 0.125 0.373
Dy 0.125 0.125 0.542
S 0.106 0.375 0.875
S 0.116 0.366 0.712

Output
Density of states at the Fermi level = 0.1981 states/eV/atom
Uncorrected formation energy = -2.061 eV per atom
Calculated volume = 2399.2 Å³ per cell